Record 1
# HgP2, optimized geometry, DFT PBE
# M_tot: 0.00 μB per formula unit
# ΔE_f: 0.171 eV per atom
data_HgP2
_cell_length_a 6.545
_cell_length_b 6.545
_cell_length_c 6.932
_cell_angle_alpha 105.45
_cell_angle_beta 105.45
_cell_angle_gamma 28.63
_space_group_name_H-M_alt 'P 1'
_space_group_IT_number 1
_space_group_name_Hall 'P 1'
loop_
_atom_site_label
_atom_site_type_symbol
_atom_site_fract_x
_atom_site_fract_y
_atom_site_fract_z
Hg1 Hg 0.114 0.114 0.468
Hg2 Hg 0.886 0.886 0.532
P1 P 0.177 0.177 0.090
P2 P 0.430 0.430 0.072
P3 P 0.570 0.570 0.928
P4 P 0.823 0.823 0.910

---

Record 2
# Ce2HfZr, optimized geometry, DFT PBE
# M_tot: 0.00 μB per formula unit
# ΔE_f: 0.128 eV per atom
data_Ce2HfZr
_cell_length_a 4.475
_cell_length_b 4.475
_cell_length_c 5.014
_cell_angle_alpha 90.00
_cell_angle_beta 90.00
_cell_angle_gamma 90.00
_space_group_name_H-M_alt 'P 1'
_space_group_IT_number 1
_space_group_name_Hall 'P 1'
loop_
_atom_site_label
_atom_site_type_symbol
_atom_site_fract_x
_atom_site_fract_y
_atom_site_fract_z
Ce1 Ce 0.000 0.500 0.000
Ce2 Ce 0.500 0.000 0.000
Hf1 Hf 0.000 0.000 0.500
Zr1 Zr 0.500 0.500 0.500

---

Record 3
# CdBiMo2N, optimized geometry, DFT PBE
# M_tot: 5.90 μB per formula unit
# ΔE_f (raw): 2.9208 eV/atom
data_CdBiMo2N
_cell_length_a 5.436
_cell_length_b 5.436
_cell_length_c 5.418
_cell_angle_alpha 90.00
_cell_angle_beta 90.00
_cell_angle_gamma 90.00
_space_group_name_H-M_alt 'P 1'
_space_group_IT_number 1
_space_group_name_Hall 'P 1'
loop_
_atom_site_label
_atom_site_type_symbol
_atom_site_fract_x
_atom_site_fract_y
_atom_site_fract_z
Cd1 Cd 0.000 0.000 0.000
Bi1 Bi 0.000 0.000 0.500
Mo1 Mo 0.000 0.500 0.000
Mo2 Mo 0.500 0.000 0.000
N1 N 0.500 0.500 0.500